The following is a DFT calculation (PBE+U) of crystalline CaTl2MoO6 at its relaxed geometry.

Lattice parameters (Å, degrees): 6.1310 7.1493 7.1493 97.15 84.65 84.65
Closest atoms and distances in Å follow each position.
Atoms (fractional coordinates):
O (0.6381, 0.7832, 0.9779)  1 Tl 2.13, 1 Mo 2.21, 1 Ca 2.35
O (0.3619, 0.2168, 0.0221)  1 Tl 2.13, 1 Mo 2.21, 1 Ca 2.35
O (0.8619, 0.0221, 0.2168)  1 Tl 2.13, 1 Mo 2.21, 1 Ca 2.35
O (0.4624, 0.8713, 0.3265)  1 Mo 1.90
O (0.5376, 0.1287, 0.6735)  1 Mo 1.90
O (0.0376, 0.6735, 0.1287)  1 Mo 1.90
O (0.9624, 0.3265, 0.8713)  1 Mo 1.90
O (0.8315, 0.7598, 0.5015)  1 Mo 1.85
O (0.6685, 0.4985, 0.2402)  1 Mo 1.85
O (0.1685, 0.2402, 0.4985)  1 Mo 1.85
O (0.1381, 0.9779, 0.7832)  1 Tl 2.13, 1 Mo 2.21, 1 Ca 2.35
O (0.3315, 0.5015, 0.7598)  1 Mo 1.85
Mo (0.7500, 0.7428, 0.2572)  4 O 1.85-1.90
Mo (0.2500, 0.2572, 0.7428)  4 O 1.85-1.90
Tl (0.7235, 0.5544, 0.7542)  2 O 2.13-2.37
Tl (0.7765, 0.2458, 0.4456)  2 O 2.13-2.37
Tl (0.2235, 0.7542, 0.5544)  2 O 2.13-2.37
Tl (0.2765, 0.4456, 0.2458)  2 O 2.13-2.37
Ca (0.2500, 0.9210, 0.0790)  6 O 2.34-2.49
Ca (0.7500, 0.0790, 0.9210)  6 O 2.34-2.49

Summary:
VASP energy   -116.9 eV for the cell shown
V   307.8 Å³ per cell
Theoretical density   6.91 g/cm³